# 1
Computed, not measured: a relaxed CsTl3Ga crystal at the PBE level of DFT.

Properties
E above lowest polymorph: 0.000 eV per atom
DOS at the Fermi energy: 0.417 states/eV per atom
ΔH_f (0 K): -0.032 eV/atom
E_tot: -2.228 eV per atom

Unit cell a=15.8348 b=11.5013 c=7.7542 alpha=90.00 beta=102.78 gamma=90.00
Closest atoms and distances in Å follow each position.
Space group C2/c (No. 15)
One atom of each set of equivalent atoms:
Cs: 0.0000 0.0064 0.2500 (multiplicity 4)  3 Cs 3.88-4.15, 8 Tl 3.89-4.15, 2 Ga 4.01
Cs: 0.0000 0.3546 0.7500 (multiplicity 4)  6 Ga 3.85-4.18, 8 Tl 3.91-4.16, 1 Cs 4.15
Tl: 0.1796 0.1719 0.5838 (multiplicity 8)  1 Ga 3.07, 3 Tl 3.31-3.34
Tl: 0.1901 0.1734 0.1039 (multiplicity 8)  1 Ga 2.97, 3 Tl 3.26-3.32
Tl: 0.1925 0.4981 0.5893 (multiplicity 8)  2 Ga 3.12-3.18, 3 Tl 3.31-3.32
Ga: 0.0900 0.3333 0.2837 (multiplicity 8)  1 Ga 2.78, 2 Tl 2.97-3.07



# 2
Computed, not measured: a relaxed MgAg2Au crystal at the PBE level of DFT.

Properties
DOS at the Fermi energy: 0.424 states/eV per atom
ΔH_f (0 K): -0.187 eV/atom
E_tot: -2.831 eV per atom

Unit cell a=3.0594 b=4.0564 c=5.8283 alpha=90.00 beta=90.00 gamma=90.00
Closest atoms and distances in Å follow each position.
Space group Pmmm (No. 47)
One atom of each set of equivalent atoms:
Mg: 0.0000 0.0000 0.0000 (multiplicity 1)  2 Au 2.91, 8 Ag 2.92, 2 Mg 3.06
Ag: 0.5000 0.5000 0.2475 (multiplicity 2)  4 Ag 2.89-3.06, 4 Mg 2.92, 4 Au 2.94
Au: 0.0000 0.0000 0.5000 (multiplicity 1)  2 Mg 2.91, 8 Ag 2.94, 2 Au 3.06



# 3
Computed, not measured: a relaxed Rb3MgGe2Br9 crystal at the PBE level of DFT.

Properties
DOS at the Fermi energy: 0.000 states/eV per atom
Formation energy from raw total energies: -1.216 eV/atom
E_tot: -3.136 eV per atom

Unit cell a=7.8013 b=7.8013 c=9.5604 alpha=90.00 beta=90.00 gamma=120.00
Closest atoms and distances in Å follow each position.
Space group P-3m1 (No. 164)
One atom of each set of equivalent atoms:
Rb: 0.0000 0.0000 0.0000 (multiplicity 1)  12 Br 3.90-3.91
Rb: 0.3333 0.6667 0.6580 (multiplicity 2)  12 Br 3.83-3.97
Mg: 0.0000 0.0000 0.5000 (multiplicity 1)  6 Br 2.70
Ge: 0.3333 0.6667 0.1676 (multiplicity 2)  6 Br 2.76-2.82
Br: 0.0000 0.5000 0.0000 (multiplicity 3)  2 Ge 2.76
Br: 0.1630 0.3261 0.3373 (multiplicity 6)  1 Mg 2.70, 1 Ge 2.82



# 4
Computed, not measured: a relaxed HoTmSc6 crystal at the PBE level of DFT.

Properties
E above lowest polymorph: 0.050 eV per atom
DOS at the Fermi energy: 1.905 states/eV per atom
ΔH_f (0 K): 0.056 eV/atom
E_tot: -5.824 eV per atom

Unit cell a=9.3971 b=9.4117 c=4.6856 alpha=90.00 beta=90.00 gamma=90.00
Closest atoms and distances in Å follow each position.
Space group Cmmm (No. 65)
One atom of each set of equivalent atoms:
Ho: 0.0000 0.0000 0.0000 (multiplicity 2)  12 Sc 3.32
Tm: 0.0000 0.5000 0.0000 (multiplicity 2)  12 Sc 3.31-3.32
Sc: 0.0000 0.2504 0.5000 (multiplicity 4)  2 Tm 3.32, 8 Sc 3.32-3.33, 2 Ho 3.32
Sc: 0.2494 0.5000 0.5000 (multiplicity 4)  2 Tm 3.31, 8 Sc 3.32-3.33, 2 Ho 3.32
Sc: 0.2500 0.2500 0.0000 (multiplicity 4)  8 Sc 3.32, 2 Ho 3.32, 2 Tm 3.32



# 5
Computed, not measured: a relaxed YSiPb crystal at the PBE level of DFT.

Properties
E above lowest polymorph: 0.364 eV per atom
DOS at the Fermi energy: 0.541 states/eV per atom
Formation energy from raw total energies: -0.147 eV/atom
E_tot: -5.345 eV per atom

Unit cell a=4.7291 b=5.5859 c=11.1344 alpha=90.00 beta=90.00 gamma=90.00
Closest atoms and distances in Å follow each position.
Space group Fmm2 (No. 42)
One atom of each set of equivalent atoms:
Y: 0.0000 0.0000 0.0000 (multiplicity 4)  2 Si 2.88
Si: 0.0000 0.0000 0.3516 (multiplicity 4)  2 Y 2.88, 2 Pb 2.89
Pb: 0.0000 0.0000 0.7030 (multiplicity 4)  2 Si 2.89



# 6
Computed, not measured: a relaxed Er5NiRu4 crystal at the PBE level of DFT.

Properties
DOS at the Fermi energy: 0.702 states/eV per atom
ΔH_f (0 K): -0.428 eV/atom
E_tot: -6.998 eV per atom

Unit cell a=3.3831 b=3.3831 c=16.6810 alpha=90.00 beta=90.00 gamma=90.00
Closest atoms and distances in Å follow each position.
Space group P4/mmm (No. 123)
One atom of each set of equivalent atoms:
Er: 0.0000 0.0000 0.0000 (multiplicity 1)  8 Ru 2.92
Er: 0.0000 0.0000 0.2010 (multiplicity 2)  8 Ru 2.92-2.96
Er: 0.0000 0.0000 0.4003 (multiplicity 2)  4 Ru 2.87, 4 Ni 2.91
Ni: 0.5000 0.5000 0.5000 (multiplicity 1)  8 Er 2.91, 2 Ru 3.25
Ru: 0.5000 0.5000 0.1008 (multiplicity 2)  8 Er 2.92
Ru: 0.5000 0.5000 0.3053 (multiplicity 2)  8 Er 2.87-2.96



# 7
Computed, not measured: a relaxed Ac4InSn2 crystal at the PBE level of DFT.

Properties
DOS at the Fermi energy: 0.995 states/eV per atom
ΔH_f (0 K): -0.428 eV/atom
E_tot: -4.311 eV per atom

Unit cell a=6.5618 b=7.3809 c=11.2015 alpha=90.00 beta=104.74 gamma=90.00
Closest atoms and distances in Å follow each position.
Space group P2_1/m (No. 11)
One atom of each set of equivalent atoms:
Ac: 0.0044 0.0161 0.2535 (multiplicity 4)  4 Sn 3.38-3.67, 1 Ac 3.45, 1 In 3.56
Ac: 0.3486 0.7500 0.5310 (multiplicity 2)  1 In 3.23, 2 Sn 3.29-3.50
Ac: 0.4406 0.7500 0.1311 (multiplicity 2)  3 In 3.47-3.73, 3 Sn 3.52-3.75
In: 0.4861 0.7500 0.8288 (multiplicity 2)  1 Sn 2.86
Sn: 0.1069 0.2500 0.0001 (multiplicity 2)  1 In 2.86
Sn: 0.2022 0.2500 0.5494 (multiplicity 2)  6 Ac 3.29-3.67



# 8
Computed, not measured: a relaxed PmPH2Pd crystal at the PBE level of DFT.

Properties
DOS at the Fermi energy: 0.272 states/eV per atom
E_tot: -4.965 eV per atom

Unit cell a=3.8610 b=3.8610 c=4.9696 alpha=90.00 beta=90.00 gamma=90.00
Closest atoms and distances in Å follow each position.
Space group P4mm (No. 99)
One atom of each set of equivalent atoms:
Pm: 0.0000 0.0000 0.0000 (multiplicity 1)  4 H 2.62, 4 P 2.82
P: 0.5000 0.5000 0.8561 (multiplicity 1)  2 Pd 2.44-2.53
H: 0.0000 0.5000 0.3557 (multiplicity 2)  2 Pd 1.93
Pd: 0.5000 0.5000 0.3644 (multiplicity 1)  4 H 1.93



# 9
Computed, not measured: a relaxed CaAcS2 crystal at the PBE level of DFT.

Properties
E above lowest polymorph: 0.000 eV per atom
DOS at the Fermi energy: 0.342 states/eV per atom
Formation energy from raw total energies: -2.031 eV/atom
E_tot: -5.622 eV per atom

Unit cell a=4.1495 b=4.1495 c=20.7915 alpha=90.00 beta=90.00 gamma=120.00
Closest atoms and distances in Å follow each position.
Space group R-3m (No. 166, hexagonal axes)
One atom of each set of equivalent atoms:
Ca: 0.0000 0.0000 0.0000 (multiplicity 3)  6 S 2.88
Ac: 0.0000 0.0000 0.5000 (multiplicity 3)  6 S 3.04
S: 0.0000 0.0000 0.2567 (multiplicity 6)  3 Ca 2.88, 3 Ac 3.04



# 10
Computed, not measured: a relaxed Ca2AcErTl4 crystal at the PBE level of DFT.

Properties
DOS at the Fermi energy: 0.783 states/eV per atom
ΔH_f (0 K): -0.368 eV/atom
E_tot: -3.136 eV per atom

Unit cell a=5.5274 b=5.5274 c=27.6580 alpha=90.00 beta=90.00 gamma=120.00
Closest atoms and distances in Å follow each position.
Space group R-3m (No. 166, hexagonal axes)
One atom of each set of equivalent atoms:
Ca: 0.0000 0.0000 0.2473 (multiplicity 6)  7 Tl 3.29-3.40
Ac: 0.0000 0.0000 0.0000 (multiplicity 3)  8 Tl 3.46-3.55
Er: 0.0000 0.0000 0.5000 (multiplicity 3)  8 Tl 3.26-3.36
Tl: 0.0000 0.0000 0.1284 (multiplicity 6)  4 Ca 3.29-3.40, 3 Er 3.36, 1 Ac 3.55
Tl: 0.0000 0.0000 0.3820 (multiplicity 6)  1 Er 3.26, 3 Ca 3.35, 3 Ac 3.46



The highest E_tot belongs to which entry?
CsTl3Ga



Look up the DOS at the Fermi energy of the first one.
0.417 states/eV per atom



Please write out number 6 again, unchanged.
Computed, not measured: a relaxed Er5NiRu4 crystal at the PBE level of DFT.

Properties
DOS at the Fermi energy: 0.702 states/eV per atom
ΔH_f (0 K): -0.428 eV/atom
E_tot: -6.998 eV per atom

Unit cell a=3.3831 b=3.3831 c=16.6810 alpha=90.00 beta=90.00 gamma=90.00
Closest atoms and distances in Å follow each position.
Space group P4/mmm (No. 123)
One atom of each set of equivalent atoms:
Er: 0.0000 0.0000 0.0000 (multiplicity 1)  8 Ru 2.92
Er: 0.0000 0.0000 0.2010 (multiplicity 2)  8 Ru 2.92-2.96
Er: 0.0000 0.0000 0.4003 (multiplicity 2)  4 Ru 2.87, 4 Ni 2.91
Ni: 0.5000 0.5000 0.5000 (multiplicity 1)  8 Er 2.91, 2 Ru 3.25
Ru: 0.5000 0.5000 0.1008 (multiplicity 2)  8 Er 2.92
Ru: 0.5000 0.5000 0.3053 (multiplicity 2)  8 Er 2.87-2.96